(1)
! TaBiN2O (PBE, relaxed); values from VASP
&SYSTEM
  ibrav = 0, nat = 40, ntyp = 4
/
ATOMIC_SPECIES
Ta 180.95 Ta.upf
Bi 208.98 Bi.upf
N 14.01 N.upf
O 16.00 O.upf
CELL_PARAMETERS angstrom
7.974 0.000 0.000
0.017 8.014 0.000
0.005 0.037 8.191
ATOMIC_POSITIONS crystal
Ta 0.000 0.000 0.000
Ta 0.002 0.016 0.498
Ta 0.486 0.010 0.999
Ta 0.490 0.021 0.493
Ta 0.502 0.503 0.995
Ta 0.506 0.511 0.490
Ta 0.991 0.522 0.493
Ta 0.996 0.515 0.996
Bi 0.238 0.797 0.749
Bi 0.246 0.766 0.262
Bi 0.248 0.254 0.757
Bi 0.256 0.294 0.253
Bi 0.740 0.226 0.239
Bi 0.743 0.279 0.752
Bi 0.746 0.760 0.225
Bi 0.755 0.731 0.734
N 0.032 0.761 0.530
N 0.040 0.536 0.236
N 0.041 0.045 0.743
N 0.240 0.052 0.447
N 0.243 0.943 0.028
N 0.440 0.029 0.742
N 0.440 0.548 0.233
N 0.442 0.254 0.022
N 0.530 0.261 0.443
N 0.533 0.482 0.734
N 0.540 0.962 0.243
N 0.741 0.568 0.451
N 0.745 0.448 0.017
N 0.938 0.979 0.242
N 0.946 0.473 0.735
N 0.947 0.757 0.949
O 0.051 0.254 0.016
O 0.237 0.450 0.515
O 0.242 0.542 0.939
O 0.431 0.756 0.519
O 0.548 0.755 0.953
O 0.737 0.969 0.537
O 0.742 0.056 0.963
O 0.932 0.259 0.456
! - Energy: -8.334 eV per atom
! - M_tot: 0.00 μB per atom

(2)
! Pr3Tm3Te2Os (PBE, relaxed); values from VASP
&SYSTEM
  ibrav = 0, nat = 9, ntyp = 4
/
ATOMIC_SPECIES
Pr 140.91 Pr.upf
Tm 168.93 Tm.upf
Te 127.60 Te.upf
Os 190.23 Os.upf
CELL_PARAMETERS angstrom
4.137 0.000 0.000
0.000 7.305 4.213
0.000 -7.305 4.213
ATOMIC_POSITIONS crystal
Pr 0.000 0.000 0.000
Pr 0.000 0.396 0.795
Pr 0.000 0.795 0.396
Tm 0.500 0.166 0.397
Tm 0.500 0.397 0.166
Tm 0.500 0.626 0.626
Te 0.500 0.063 0.731
Te 0.500 0.731 0.063
Os 0.000 0.394 0.394
! - Energy: -5.796 eV per atom
! - M_tot: 0.01 μB per atom
! - Excess energy over the best structure of this formula in the dataset: 0 kJ/mol of formula units

(3)
! TaCdNO (PBE, relaxed); values from VASP
&SYSTEM
  ibrav = 0, nat = 8, ntyp = 4
/
ATOMIC_SPECIES
Ta 180.95 Ta.upf
Cd 112.41 Cd.upf
N 14.01 N.upf
O 16.00 O.upf
CELL_PARAMETERS angstrom
4.109 0.000 0.000
0.000 4.109 0.000
0.000 0.000 6.555
ATOMIC_POSITIONS crystal
Ta 0.250 0.750 0.000
Ta 0.750 0.250 0.000
Cd 0.250 0.250 0.374
Cd 0.750 0.750 0.626
N 0.250 0.250 0.922
N 0.750 0.750 0.078
O 0.250 0.750 0.500
O 0.750 0.250 0.500
! - Energy: -7.014 eV per atom
! - M_tot: 0.00 μB per atom
! - Excess energy over the best structure of this formula in the dataset: 228 kJ/mol of formula units

(4)
! Nb2AgOs (PBE, relaxed); values from VASP
&SYSTEM
  ibrav = 0, nat = 4, ntyp = 3
/
ATOMIC_SPECIES
Nb 92.91 Nb.upf
Ag 107.87 Ag.upf
Os 190.23 Os.upf
CELL_PARAMETERS angstrom
0.000 3.227 3.227
3.227 0.000 3.227
3.227 3.227 0.000
ATOMIC_POSITIONS crystal
Nb 0.000 0.000 0.000
Nb 0.250 0.250 0.250
Ag 0.750 0.750 0.750
Os 0.500 0.500 0.500
! - Energy: -8.234 eV per atom
! - M_tot: 0.17 μB per atom
! - Energy relative to the elements: 326 meV/atom

(5)
! AcIrNO (PBE, relaxed); values from VASP
&SYSTEM
  ibrav = 0, nat = 8, ntyp = 4
/
ATOMIC_SPECIES
Ac 227.00 Ac.upf
Ir 192.22 Ir.upf
N 14.01 N.upf
O 16.00 O.upf
CELL_PARAMETERS angstrom
5.444 0.000 0.000
0.000 5.444 0.000
0.000 0.000 4.427
ATOMIC_POSITIONS crystal
Ac 0.250 0.750 0.000
Ac 0.750 0.250 0.000
Ir 0.250 0.250 0.500
Ir 0.750 0.750 0.500
N 0.250 0.250 0.007
N 0.750 0.750 0.993
O 0.250 0.750 0.500
O 0.750 0.250 0.500
! - Energy: -6.940 eV per atom
! - M_tot: 0.00 μB per atom
! - Excess energy over the best structure of this formula in the dataset: 329 kJ/mol of formula units

(6)
! SrCdCoS3 (PBE, relaxed); values from VASP
&SYSTEM
  ibrav = 0, nat = 12, ntyp = 4
/
ATOMIC_SPECIES
Sr 87.62 Sr.upf
Cd 112.41 Cd.upf
Co 58.93 Co.upf
S 32.06 S.upf
CELL_PARAMETERS angstrom
1.960 -6.424 0.000
1.960 6.424 0.000
0.000 0.000 10.269
ATOMIC_POSITIONS crystal
Sr 0.247 0.753 0.750
Sr 0.753 0.247 0.250
Cd 0.500 0.500 0.000
Cd 0.500 0.500 0.500
Co 0.030 0.970 0.250
Co 0.970 0.030 0.750
S 0.137 0.863 0.073
S 0.137 0.863 0.427
S 0.430 0.570 0.250
S 0.570 0.430 0.750
S 0.863 0.137 0.573
S 0.863 0.137 0.927
! - Energy: -4.525 eV per atom
! - M_tot: 0.50 μB per atom
! - Excess energy over the best structure of this formula in the dataset: 0 kJ/mol of formula units

- The lowest energy belongs to which entry?
  TaBiN2O

- M_tot of number 1 (TaBiN2O)?
  0.00 μB per atom